Computed, not measured: a relaxed structure of Ca2GaNiHg at the PBE level of DFT.

Cell lengths 5.398, 5.398, 4.535 Å; angles 90.00, 90.00, 90.00 degrees
Positions (direct):
Hg1 0.500 0.500 0.500
Ca1 0.500 0.000 0.000
Ca2 0.000 0.500 0.000
Ga1 0.000 0.000 0.500
Ni1 0.000 0.000 0.000

Crystal system ... tetragonal
Symmetry ... P4/mmm, No. 123
Total magnetic moment ... 0.00 μB per cell
ΔH_f (0 K) ... -0.3033 eV/atom
N(E_F) ... 0.727 states/eV/atom

Computed, not measured: a relaxed structure of CaGa2NiHg at the PBE level of DFT.

Cell lengths 4.614, 4.614, 5.055 Å; angles 90.00, 90.00, 90.00 degrees
Positions (direct):
Ni1 0.000 0.000 0.000
Ga1 0.000 0.500 0.000
Ga2 0.500 0.000 0.000
Ca1 0.500 0.500 0.500
Hg1 0.000 0.000 0.500

Crystal system ... tetragonal
Symmetry ... P4/mmm, No. 123
Total magnetic moment ... 0.00 μB per cell
ΔH_f (0 K) ... -0.2608 eV/atom
N(E_F) ... 0.604 states/eV/atom

Computed, not measured: a relaxed structure of CaGa2NiHg at the PBE level of DFT.

Cell lengths 4.609, 4.609, 5.388 Å; angles 90.00, 90.00, 90.00 degrees
Positions (direct):
Ca1 0.000 0.000 0.500
Ni1 0.000 0.000 0.000
Ga1 0.500 0.000 0.000
Ga2 0.000 0.500 0.000
Hg1 0.500 0.500 0.500

Crystal system ... tetragonal
Symmetry ... P4/mmm, No. 123
Total magnetic moment ... 0.00 μB per cell
ΔH_f (0 K) ... -0.2709 eV/atom
N(E_F) ... 0.488 states/eV/atom

Computed, not measured: a relaxed structure of CaGaNiHg2 at the PBE level of DFT.

Cell lengths 5.033, 5.033, 4.587 Å; angles 90.00, 90.00, 90.00 degrees
Positions (direct):
Ni1 0.000 0.000 0.000
Hg1 0.500 0.000 0.000
Hg2 0.000 0.500 0.000
Ga1 0.000 0.000 0.500
Ca1 0.500 0.500 0.500

Crystal system ... tetragonal
Symmetry ... P4/mmm, No. 123
Total magnetic moment ... 0.00 μB per cell
ΔH_f (0 K) ... -0.2068 eV/atom
N(E_F) ... 0.518 states/eV/atom